First-principles (PBE) data for Cr2GaW after structural relaxation, as listed in Alexandria.

The formation enthalpy at 0 K is 0.0267 eV/atom. Its crystal system is tetragonal. For the magnetization, the calculation gives 0.697 μB per atom.

The structure belongs to space group P4/mmm (No. 123); the cell edges are 3.0824, 3.0824 and 5.8347 Å and the angles 90.00°, 90.00° and 90.00°. The distinct sites, in fractional coordinates, are Cr at (0.0000, 0.0000, 0.2464), Ga at (0.5000, 0.5000, 0.5000) and W at (0.5000, 0.5000, 0.0000).


First-principles (PBE) data for BeCr2Mo after structural relaxation, as listed in Alexandria.

The formation enthalpy at 0 K is 0.3266 eV/atom. Its crystal system is orthorhombic. For the magnetization, the calculation gives 0.000 μB per atom.

The structure belongs to space group Cmmm (No. 65); the cell edges are 4.9359, 8.0812 and 2.4906 Å and the angles 90.00°, 90.00° and 90.00°. The distinct sites, in fractional coordinates, are Be at (0.0000, 0.0000, 0.0000), Cr at (0.2500, 0.2500, 0.5000) and Mo at (0.0000, 0.5000, 0.0000).